Material: NaLiCr3
Method: DFT, PBE
State: relaxed

Results
The calculation puts the formation energy from the elements at 1899 meV per atom. The value obtained for the energy relative to the lowest polymorph listed for this composition is 94 meV/atom. As for the space group: Pm-3m (221). The total energy is -4.52 eV/atom. The value obtained for the calculated volume is 14.6 Å³/atom.

The structure in POSCAR format:
```
NaLiCr3
1.0
-0.6460 2.7089 -3.1106
-0.8986 -3.1653 -2.5699
-4.0257 0.2719 1.0728
Cr Li Na
3 1 1
direct
0.0000 0.5000 0.0000 Cr
0.0000 0.0000 0.5000 Cr
0.5000 0.0000 0.0000 Cr
0.0000 0.0000 0.0000 Li
0.5000 0.5000 0.5000 Na
```